VASP calculation (PBE-GGA) on an optimized crystal structure of Te2IrCl.

## Properties
The uncorrected formation energy is 0.061 eV per atom. As for the symmetry: P4/mmm. The final energy is -4.19 eV per atom. The energy above the most stable polymorph in this dataset is 399.0 meV per atom.

Cell: 3.358 3.358 7.913 Å, 90.00 90.00 90.00°
Fractional positions:
Te1 0.000 0.000 0.203
Te2 0.000 0.000 0.797
Ir1 0.500 0.500 0.000
Cl1 0.500 0.500 0.500


VASP calculation (PBE-GGA) on an optimized crystal structure of ScSbAu2.

## Properties
The uncorrected formation energy is -0.443 eV per atom. As for the symmetry: Pm. The final energy is -4.70 eV per atom.

Cell: 3.257 4.167 6.373 Å, 90.00 104.49 90.00°
Fractional positions:
Sc1 0.000 0.000 0.000
Sb1 0.387 0.500 0.772
Au1 0.227 0.000 0.458
Au2 0.623 0.500 0.247


VASP calculation (PBE-GGA) on an optimized crystal structure of SbPIr2.

## Properties
The uncorrected formation energy is 0.038 eV per atom. As for the symmetry: Pmmm. The final energy is -6.78 eV per atom. The energy above the most stable polymorph in this dataset is 311.4 meV per atom.

Cell: 3.539 3.875 5.581 Å, 90.00 90.00 90.00°
Fractional positions:
Sb1 0.000 0.000 0.000
P1 0.000 0.500 0.500
Ir1 0.500 0.500 0.247
Ir2 0.500 0.500 0.753


VASP calculation (PBE-GGA) on an optimized crystal structure of AlNi7Sb2P2.

## Properties
The uncorrected formation energy is -0.368 eV per atom. As for the symmetry: C2/m. The final energy is -5.64 eV per atom.

Cell: 3.597 3.597 13.966 Å, 97.33 97.33 90.00°
Fractional positions:
Al1 0.000 0.000 0.000
Ni1 0.065 0.565 0.132
Ni2 0.307 0.307 0.615
Ni3 0.435 0.935 0.868
Ni4 0.500 0.500 0.000
Ni5 0.565 0.065 0.132
Ni6 0.693 0.693 0.385
Ni7 0.935 0.435 0.868
Sb1 0.210 0.210 0.421
Sb2 0.790 0.790 0.579
P1 0.389 0.389 0.776
P2 0.611 0.611 0.224


Q: Which value of final energy does entry 3 give?
A: -6.78 eV per atom


Q: Number 2 is which compound?
A: ScSbAu2


Q: final energy of number 4 (AlNi7Sb2P2)?
A: -5.64 eV per atom